# PBE CrIn2Pt, optimized geometry
data_CrIn2Pt
_cell_length_a 4.122
_cell_length_b 4.122
_cell_length_c 8.717
_cell_angle_alpha 90.00
_cell_angle_beta 90.00
_cell_angle_gamma 90.00
_space_group_name_H-M_alt 'I -4 m 2'
_space_group_IT_number 119
_space_group_name_Hall 'I -4 -2'
loop_
_atom_site_label
_atom_site_type_symbol
_atom_site_fract_x
_atom_site_fract_y
_atom_site_fract_z
Cr1 Cr 0.000 0.000 0.000
In1 In 0.000 0.000 0.500
In2 In 0.000 0.500 0.750
Pt1 Pt 0.000 0.500 0.250
# - Energy: -5.31 eV/atom
# - Density of states at the Fermi level: 4.2 states/eV/cell
# - Energy of formation: -0.028 eV per atom